Density functional theory data (GGA-PBE) for an optimized crystal structure of LaCe2Gd.

Cell and atoms, written as POSCAR:
```
LaCe2Gd
1.0
4.937 0.000 0.000
0.000 4.937 0.000
0.000 0.000 5.109
La Ce Gd
1 2 1
Cartesian
0.000 0.000 0.000
0.000 2.469 2.555
2.469 0.000 2.555
2.469 2.469 0.000
```

Energy above the most stable polymorph in this dataset ... 0.0 meV/atom
DFT total energy ... -7.61 eV per atom
Mass density ... 7.7 g/cm³
Formation enthalpy at 0 K ... 0.11 eV/atom